No. 1
A plane-wave DFT calculation with PBE was carried out for a geometry-optimized TbZn2Co2Ge structure.

Cell lengths 4.340, 4.340, 5.577 Å; angles 90.00, 90.00, 90.00 degrees
Positions (direct):
Co 0.500 0.000 0.000
Co 0.000 0.500 0.000
Zn 0.500 0.500 0.263
Zn 0.500 0.500 0.737
Tb 0.000 0.000 0.500
Ge 0.000 0.000 0.000

Mass density   7.6 g/cm3
SG   P4/mmm
Formation energy   -0.066 eV per atom
Uncorrected energy   -26.4 eV/cell


No. 2
A plane-wave DFT calculation with PBE was carried out for a geometry-optimized BeAs2Pt structure.

Cell lengths 4.366, 4.366, 3.492 Å; angles 90.00, 90.00, 107.32 degrees
Positions (direct):
As 0.500 0.500 0.000
As 0.000 0.000 0.000
Be 0.500 0.000 0.500
Pt 0.000 0.500 0.500

Mass density   9.3 g/cm3
SG   Cmmm
Formation energy   0.164 eV per atom
Uncorrected energy   -18.4 eV/cell


No. 3
A plane-wave DFT calculation with PBE was carried out for a geometry-optimized Ho2Tl2P structure.

Cell lengths 3.874, 3.822, 11.021 Å; angles 84.70, 79.88, 59.55 degrees
Positions (direct):
Ho 0.735 0.174 0.356
Ho 0.265 0.826 0.644
Tl 0.511 0.850 0.128
Tl 0.489 0.150 0.872
P 0.000 0.500 0.500

Mass density   9.2 g/cm3
SG   C2/m
Formation energy   -0.687 eV per atom
Uncorrected energy   -22.7 eV/cell


No. 4
A plane-wave DFT calculation with PBE was carried out for a geometry-optimized SmPaSnBi structure.

Cell lengths 5.432, 5.432, 5.432 Å; angles 60.00, 60.00, 60.00 degrees
Positions (direct):
Sn 0.250 0.250 0.250
Bi 0.750 0.750 0.750
Sm 0.500 0.500 0.500
Pa 0.000 0.000 0.000

Mass density   10.4 g/cm3
SG   F-43m
Formation energy   -0.297 eV per atom
Uncorrected energy   -23.3 eV/cell


No. 5
A plane-wave DFT calculation with PBE was carried out for a geometry-optimized Pr5Er2In2 structure.

Cell lengths 10.747, 6.679, 10.306 Å; angles 108.91, 121.43, 90.00 degrees
Positions (direct):
Er 0.768 0.937 0.500
Er 0.000 0.006 0.000
Er 0.500 0.506 0.000
Er 0.232 0.437 0.500
Pr 0.181 0.636 0.884
Pr 0.203 0.136 0.884
Pr 0.868 0.439 0.500
Pr 0.460 0.487 0.300
Pr 0.540 0.187 0.700
Pr 0.132 0.939 0.500
Pr 0.797 0.252 0.116
Pr 0.659 0.687 0.700
Pr 0.819 0.752 0.116
Pr 0.341 0.987 0.300
In 0.559 0.033 0.175
In 0.884 0.358 0.825
In 0.116 0.533 0.175
In 0.441 0.858 0.825

Mass density   7.2 g/cm3
SG   Ima2
Formation energy   -0.060 eV per atom
Uncorrected energy   -78.1 eV/cell


No. 6
A plane-wave DFT calculation with PBE was carried out for a geometry-optimized KCaTa2 structure.

Cell lengths 4.205, 4.205, 7.760 Å; angles 90.00, 90.00, 90.00 degrees
Positions (direct):
Ta 0.000 0.000 0.100
Ta 0.000 0.000 0.400
Ca 0.500 0.500 0.250
K 0.500 0.500 0.750

Mass density   5.3 g/cm3
SG   P4/mmm
Formation energy   1.468 eV per atom
Uncorrected energy   -20.9 eV/cell


No. 7
A plane-wave DFT calculation with PBE was carried out for a geometry-optimized MnPCS structure.

Cell lengths 6.173, 2.901, 6.135 Å; angles 90.00, 105.49, 90.00 degrees
Positions (direct):
S 0.590 0.000 0.417
S 0.590 0.500 0.917
C 0.294 0.500 0.843
C 0.294 0.000 0.343
Mn 0.767 0.000 0.774
Mn 0.767 0.500 0.274
P 0.127 0.500 0.298
P 0.127 0.000 0.798

Mass density   4.1 g/cm3
SG   Cm
Formation energy without anion corrections   0.293 eV/atom
Uncorrected energy   -53.5 eV/cell


No. 8
A plane-wave DFT calculation with PBE was carried out for a geometry-optimized Pm3Co3Br structure.

Cell lengths 3.901, 9.816, 9.816 Å; angles 120.00, 90.00, 90.00 degrees
Positions (direct):
Br 0.250 0.667 0.333
Br 0.750 0.333 0.667
Co 0.250 0.870 0.029
Co 0.750 0.841 0.870
Co 0.750 0.130 0.971
Co 0.250 0.971 0.841
Co 0.750 0.029 0.159
Co 0.250 0.159 0.130
Pm 0.250 0.290 0.912
Pm 0.250 0.088 0.379
Pm 0.750 0.379 0.290
Pm 0.750 0.710 0.088
Pm 0.750 0.912 0.621
Pm 0.250 0.621 0.710

Mass density   7.1 g/cm3
SG   P6_3/m
Formation energy without anion corrections   -0.368 eV/atom
Uncorrected energy   -79.6 eV/cell


No. 9
A plane-wave DFT calculation with PBE was carried out for a geometry-optimized CdSn3Br structure.

Cell lengths 5.609, 5.609, 5.609 Å; angles 90.00, 90.00, 90.00 degrees
Positions (direct):
Cd 0.500 0.500 0.500
Sn 0.000 0.000 0.500
Sn 0.000 0.500 0.000
Sn 0.500 0.000 0.000
Br 0.000 0.000 0.000

Mass density   5.2 g/cm3
SG   Pm-3m
Formation energy without anion corrections   0.593 eV/atom
Uncorrected energy   -11.6 eV/cell


No. 10
A plane-wave DFT calculation with PBE was carried out for a geometry-optimized TlRu2 structure.

Cell lengths 7.300, 7.300, 4.700 Å; angles 90.00, 90.00, 156.44 degrees
Positions (direct):
Tl 0.900 0.100 0.250
Tl 0.100 0.900 0.750
Ru 0.427 0.573 0.750
Ru 0.775 0.225 0.750
Ru 0.225 0.775 0.250
Ru 0.573 0.427 0.250

Mass density   13.5 g/cm3
SG   Cmcm
Formation energy   0.636 eV per atom
Uncorrected energy   -38.0 eV/cell


No. 11
A plane-wave DFT calculation with PBE was carried out for a geometry-optimized Na4Tl5Ag structure.

Cell lengths 3.506, 3.506, 22.230 Å; angles 90.00, 90.00, 90.00 degrees
Positions (direct):
Ag 0.000 0.000 0.000
Tl 0.500 0.500 0.293
Tl 0.500 0.500 0.500
Tl 0.500 0.500 0.085
Tl 0.500 0.500 0.707
Tl 0.500 0.500 0.915
Na 0.000 0.000 0.603
Na 0.000 0.000 0.811
Na 0.000 0.000 0.189
Na 0.000 0.000 0.397

Mass density   7.4 g/cm3
SG   P4/mmm
Formation energy   -0.065 eV per atom
Uncorrected energy   -20.6 eV/cell


No. 12
A plane-wave DFT calculation with PBE was carried out for a geometry-optimized Na4PaO5 structure.

Cell lengths 4.708, 5.927, 5.927 Å; angles 80.92, 66.60, 66.60 degrees
Positions (direct):
O 0.739 0.182 0.341
O 0.263 0.818 0.659
O 0.080 0.659 0.182
O 0.501 0.000 0.000
O 0.922 0.341 0.818
Na 0.599 0.597 0.207
Na 0.403 0.403 0.793
Na 0.806 0.793 0.597
Na 0.196 0.207 0.403
Pa 0.001 0.000 0.000

Mass density   4.8 g/cm3
SG   I4/m
Formation energy without anion corrections   -2.212 eV/atom
Uncorrected energy   -61.7 eV/cell


What is the mass density in the sixth record? 5.3 g/cm3


Please write out number 8 again, unchanged.
A plane-wave DFT calculation with PBE was carried out for a geometry-optimized Pm3Co3Br structure.

Cell lengths 3.901, 9.816, 9.816 Å; angles 120.00, 90.00, 90.00 degrees
Positions (direct):
Br 0.250 0.667 0.333
Br 0.750 0.333 0.667
Co 0.250 0.870 0.029
Co 0.750 0.841 0.870
Co 0.750 0.130 0.971
Co 0.250 0.971 0.841
Co 0.750 0.029 0.159
Co 0.250 0.159 0.130
Pm 0.250 0.290 0.912
Pm 0.250 0.088 0.379
Pm 0.750 0.379 0.290
Pm 0.750 0.710 0.088
Pm 0.750 0.912 0.621
Pm 0.250 0.621 0.710

Mass density   7.1 g/cm3
SG   P6_3/m
Formation energy without anion corrections   -0.368 eV/atom
Uncorrected energy   -79.6 eV/cell


Look up the mass density of the twelfth one. 4.8 g/cm3